# 1
A plane-wave DFT calculation with PBE-GGA was carried out for a geometry-optimized Pd2PtW structure.

Lattice parameters (Å, degrees): 4.444 4.444 4.444 60.00 60.00 60.00
Atoms (fractional coordinates):
Pt: 0.500 0.500 0.500
W: 0.000 0.000 0.000
Pd: 0.250 0.250 0.250
Pd: 0.750 0.750 0.750

Calculated values
Excess energy over the best structure of this formula in the dataset   0.2849 eV per atom
E_form   0.14 eV/atom


# 2
A plane-wave DFT calculation with PBE-GGA was carried out for a geometry-optimized CuBSe2 structure.

Lattice parameters (Å, degrees): 18.873 4.051 7.723 90.00 133.06 90.00
Atoms (fractional coordinates):
Cu: 0.667 0.030 0.628
B: 0.750 0.524 0.507
B: 0.250 0.976 0.007
B: 0.750 0.024 0.993
Se: 0.872 0.520 0.620
Cu: 0.333 0.970 0.372
Se: 0.128 0.480 0.380
Se: 0.372 0.980 0.120
B: 0.250 0.476 0.493
Se: 0.124 0.972 0.888
Se: 0.624 0.528 0.388
Se: 0.876 0.028 0.112
Cu: 0.833 0.530 0.872
Se: 0.628 0.020 0.880
Cu: 0.167 0.470 0.128
Se: 0.376 0.472 0.612

Calculated values
Formation energy from raw total energies   0.0803 eV/atom


# 3
A plane-wave DFT calculation with PBE-GGA was carried out for a geometry-optimized LaBe2Tc structure.

Lattice parameters (Å, degrees): 4.261 4.261 8.743 75.90 75.90 90.00
Atoms (fractional coordinates):
Tc: 0.250 0.750 0.500
Be: 0.875 0.625 0.750
Be: 0.375 0.625 0.750
La: 0.750 0.250 0.500
Be: 0.375 0.625 0.250
Be: 0.375 0.125 0.250
La: 0.000 0.000 0.000
Tc: 0.500 0.500 0.000

Calculated values
Excess energy over the best structure of this formula in the dataset   0.2780 eV per atom
E_form   0.27 eV/atom


# 4
A plane-wave DFT calculation with PBE-GGA was carried out for a geometry-optimized LaTlCl2 structure.

Lattice parameters (Å, degrees): 4.788 4.024 6.274 87.67 90.00 90.00
Atoms (fractional coordinates):
La: 0.500 0.250 0.250
Tl: 0.500 0.750 0.750
Cl: 0.000 0.420 0.484
Cl: 0.000 0.080 0.016

Calculated values
Excess energy over the best structure of this formula in the dataset   0.1321 eV per atom
Formation energy from raw total energies   -1.2938 eV/atom


# 5
A plane-wave DFT calculation with PBE-GGA was carried out for a geometry-optimized Pu2CuCl8 structure.

Lattice parameters (Å, degrees): 7.139 7.777 7.777 93.07 77.60 77.60
Atoms (fractional coordinates):
Cl: 0.284 0.396 0.396
Cl: 0.716 0.604 0.604
Cl: 0.733 0.100 0.807
Cl: 0.816 0.216 0.216
Cl: 0.267 0.193 0.900
Cu: 0.000 0.000 0.000
Cl: 0.267 0.900 0.193
Pu: 0.520 0.842 0.842
Cl: 0.733 0.807 0.100
Cl: 0.184 0.784 0.784
Pu: 0.480 0.158 0.158

Calculated values
Excess energy over the best structure of this formula in the dataset   0.0796 eV per atom
Formation energy from raw total energies   -1.3619 eV/atom


# 6
A plane-wave DFT calculation with PBE-GGA was carried out for a geometry-optimized Tb2NpTl3Te6 structure.

Lattice parameters (Å, degrees): 7.767 7.767 8.558 98.71 98.71 119.99
Atoms (fractional coordinates):
Te: 0.928 0.592 0.785
Tl: 0.835 0.165 0.500
Tb: 0.333 0.667 0.000
Te: 0.592 0.928 0.785
Te: 0.072 0.408 0.215
Np: 0.000 0.000 0.000
Te: 0.265 0.265 0.786
Tb: 0.667 0.333 0.000
Te: 0.408 0.072 0.215
Tl: 0.165 0.835 0.500
Tl: 0.500 0.500 0.500
Te: 0.735 0.735 0.214

Calculated values
Formation energy from raw total energies   -0.8868 eV/atom


# 7
A plane-wave DFT calculation with PBE-GGA was carried out for a geometry-optimized MoOs3C structure.

Lattice parameters (Å, degrees): 4.685 4.685 4.685 90.00 90.00 90.00
Atoms (fractional coordinates):
Os: 0.000 0.000 0.500
Os: 0.500 0.000 0.000
Mo: 0.000 0.000 0.000
Os: 0.000 0.500 0.000
C: 0.500 0.500 0.500

Calculated values
Excess energy over the best structure of this formula in the dataset   3.1167 eV per atom
E_form   3.61 eV/atom


# 8
A plane-wave DFT calculation with PBE-GGA was carried out for a geometry-optimized KIn2HgPt structure.

Lattice parameters (Å, degrees): 5.178 5.178 6.280 90.00 90.00 90.00
Atoms (fractional coordinates):
Hg: 0.500 0.500 0.500
In: 0.000 0.500 0.000
In: 0.500 0.000 0.000
Pt: 0.000 0.000 0.000
K: 0.000 0.000 0.500

Calculated values
Excess energy over the best structure of this formula in the dataset   0.0321 eV per atom
E_form   -0.21 eV/atom


# 9
A plane-wave DFT calculation with PBE-GGA was carried out for a geometry-optimized CaZrAu2 structure.

Lattice parameters (Å, degrees): 5.679 5.679 5.679 136.61 136.61 63.03
Atoms (fractional coordinates):
Au: 0.250 0.750 0.500
Au: 0.000 0.000 0.000
Ca: 0.500 0.500 0.000
Zr: 0.750 0.250 0.500

Calculated values
E_form   -0.33 eV/atom


# 10
A plane-wave DFT calculation with PBE-GGA was carried out for a geometry-optimized Tb5IrS4 structure.

Lattice parameters (Å, degrees): 3.964 3.964 14.357 97.94 97.94 90.00
Atoms (fractional coordinates):
Tb: 0.902 0.902 0.804
Ir: 0.000 0.000 0.000
S: 0.198 0.198 0.396
S: 0.604 0.604 0.208
Tb: 0.500 0.500 0.000
Tb: 0.297 0.297 0.594
S: 0.396 0.396 0.792
Tb: 0.703 0.703 0.406
Tb: 0.098 0.098 0.196
S: 0.802 0.802 0.604

Calculated values
Formation energy from raw total energies   -1.7294 eV/atom


# 11
A plane-wave DFT calculation with PBE-GGA was carried out for a geometry-optimized Tb2Pm2In5 structure.

Lattice parameters (Å, degrees): 7.223 10.129 9.476 122.31 112.40 90.00
Atoms (fractional coordinates):
In: 0.267 0.731 0.909
Tb: 0.254 0.380 0.500
Pm: 0.346 0.937 0.746
In: 0.142 0.231 0.909
In: 0.063 0.099 0.500
In: 0.637 0.688 0.698
Tb: 0.500 0.499 0.000
In: 0.733 0.822 0.091
Tb: 0.000 0.999 0.000
In: 0.439 0.490 0.302
Pm: 0.099 0.691 0.254
Pm: 0.901 0.437 0.746
In: 0.363 0.990 0.302
In: 0.937 0.599 0.500
In: 0.858 0.322 0.091
Pm: 0.654 0.191 0.254
In: 0.561 0.188 0.698
Tb: 0.746 0.880 0.500

Calculated values
E_form   -0.29 eV/atom


# 12
A plane-wave DFT calculation with PBE-GGA was carried out for a geometry-optimized ReCl3 structure.

Lattice parameters (Å, degrees): 4.818 4.818 4.818 90.00 90.00 90.00
Atoms (fractional coordinates):
Re: 0.000 0.000 0.000
Cl: 0.500 0.000 0.000
Cl: 0.000 0.000 0.500
Cl: 0.000 0.500 0.000

Calculated values
Excess energy over the best structure of this formula in the dataset   0.6041 eV per atom
Formation energy from raw total energies   -0.0691 eV/atom


# 13
A plane-wave DFT calculation with PBE-GGA was carried out for a geometry-optimized SrTlP2Se structure.

Lattice parameters (Å, degrees): 5.104 5.530 5.104 90.00 90.00 90.00
Atoms (fractional coordinates):
Se: 0.000 0.000 0.000
Tl: 0.500 0.500 0.500
P: 0.000 0.000 0.500
Sr: 0.000 0.500 0.000
P: 0.500 0.000 0.000

Calculated values
Formation energy from raw total energies   0.1834 eV/atom


# 14
A plane-wave DFT calculation with PBE-GGA was carried out for a geometry-optimized CaIn2Hg7 structure.

Lattice parameters (Å, degrees): 3.395 6.093 13.242 103.30 90.00 90.00
Atoms (fractional coordinates):
Ca: 0.000 0.000 0.000
Hg: 0.500 0.145 0.800
Hg: 0.000 0.195 0.390
Hg: 0.000 0.805 0.610
Hg: 0.500 0.500 0.000
Hg: 0.500 0.855 0.200
Hg: 0.500 0.345 0.200
In: 0.500 0.295 0.591
In: 0.500 0.705 0.409
Hg: 0.500 0.655 0.800

Calculated values
Excess energy over the best structure of this formula in the dataset   0.0000 eV per atom
E_form   -0.10 eV/atom


# 15
A plane-wave DFT calculation with PBE-GGA was carried out for a geometry-optimized SmTmAs structure.

Lattice parameters (Å, degrees): 4.280 4.280 8.196 90.00 90.00 90.00
Atoms (fractional coordinates):
Tm: 0.336 0.836 0.860
Sm: 0.837 0.837 0.500
Tm: 0.836 0.336 0.140
Sm: 0.337 0.337 0.500
As: 0.336 0.836 0.211
As: 0.836 0.336 0.789

Calculated values
E_form   -0.84 eV/atom


# 16
A plane-wave DFT calculation with PBE-GGA was carried out for a geometry-optimized VPRu3 structure.

Lattice parameters (Å, degrees): 4.310 4.310 4.310 90.00 90.00 90.00
Atoms (fractional coordinates):
P: 0.000 0.000 0.000
V: 0.500 0.500 0.500
Ru: 0.000 0.000 0.500
Ru: 0.500 0.000 0.000
Ru: 0.000 0.500 0.000

Calculated values
Excess energy over the best structure of this formula in the dataset   0.0000 eV per atom
E_form   0.37 eV/atom


# 17
A plane-wave DFT calculation with PBE-GGA was carried out for a geometry-optimized Na3Pr2DyS6 structure.

Lattice parameters (Å, degrees): 7.113 7.113 7.103 99.62 99.62 120.00
Atoms (fractional coordinates):
S: 0.401 0.077 0.232
S: 0.754 0.754 0.231
Pr: 0.333 0.667 0.000
Na: 0.500 0.500 0.500
Pr: 0.667 0.333 0.000
S: 0.077 0.401 0.232
Na: 0.166 0.834 0.500
S: 0.923 0.599 0.768
Dy: 0.000 0.000 0.000
S: 0.246 0.246 0.769
S: 0.599 0.923 0.768
Na: 0.834 0.166 0.500

Calculated values
Formation energy from raw total energies   -1.7999 eV/atom


# 18
A plane-wave DFT calculation with PBE-GGA was carried out for a geometry-optimized TmGa6Co2 structure.

Lattice parameters (Å, degrees): 8.039 8.039 8.039 60.00 60.00 60.00
Atoms (fractional coordinates):
Ga: 0.229 0.229 0.771
Ga: 0.021 0.021 0.479
Co: 0.125 0.625 0.125
Ga: 0.479 0.479 0.021
Co: 0.125 0.125 0.125
Ga: 0.229 0.771 0.771
Ga: 0.021 0.479 0.021
Ga: 0.479 0.021 0.479
Ga: 0.229 0.771 0.229
Tm: 0.500 0.500 0.500
Co: 0.125 0.125 0.625
Co: 0.625 0.125 0.125
Ga: 0.771 0.229 0.229
Ga: 0.771 0.229 0.771
Tm: 0.750 0.750 0.750
Ga: 0.771 0.771 0.229
Ga: 0.479 0.021 0.021
Ga: 0.021 0.479 0.479

Calculated values
E_form   0.13 eV/atom


# 19
A plane-wave DFT calculation with PBE-GGA was carried out for a geometry-optimized SmY3Er5 structure.

Lattice parameters (Å, degrees): 9.452 9.452 11.524 52.88 52.88 73.35
Atoms (fractional coordinates):
Y: 0.342 0.342 0.636
Y: 0.000 0.000 0.500
Er: 0.260 0.740 0.000
Y: 0.658 0.658 0.364
Er: 0.852 0.352 0.244
Sm: 0.151 0.151 0.598
Er: 0.352 0.852 0.244
Y: 0.304 0.304 0.185
Er: 0.148 0.648 0.756
Er: 0.509 0.509 0.771
Y: 0.696 0.696 0.815
Y: 0.000 0.000 0.000
Er: 0.815 0.815 0.963
Er: 0.648 0.148 0.756
Sm: 0.849 0.849 0.402
Er: 0.185 0.185 0.037
Er: 0.491 0.491 0.229
Er: 0.740 0.260 0.000

Calculated values
Excess energy over the best structure of this formula in the dataset   0.2258 eV per atom
E_form   0.53 eV/atom


# 20
A plane-wave DFT calculation with PBE-GGA was carried out for a geometry-optimized LaN2F2 structure.

Lattice parameters (Å, degrees): 4.688 4.688 5.153 90.00 90.00 90.00
Atoms (fractional coordinates):
La: 0.000 0.000 0.000
F: 0.500 0.000 0.000
F: 0.000 0.500 0.000
N: 0.000 0.000 0.500
N: 0.500 0.500 0.500

Calculated values
Excess energy over the best structure of this formula in the dataset   0.0000 eV per atom
Formation energy from raw total energies   -0.6174 eV/atom


# 21
A plane-wave DFT calculation with PBE-GGA was carried out for a geometry-optimized ZrHgAu structure.

Lattice parameters (Å, degrees): 4.619 4.619 4.619 60.00 60.00 60.00
Atoms (fractional coordinates):
Hg: 0.000 0.000 0.000
Zr: 0.500 0.500 0.500
Au: 0.750 0.750 0.750

Calculated values
E_form   -0.16 eV/atom


# 22
A plane-wave DFT calculation with PBE-GGA was carried out for a geometry-optimized CsPIr structure.

Lattice parameters (Å, degrees): 3.949 3.949 6.068 90.00 90.00 120.00
Atoms (fractional coordinates):
Ir: 0.333 0.667 0.500
P: 0.667 0.333 0.500
Cs: 0.000 0.000 0.000

Calculated values
E_form   -0.25 eV/atom


# 23
A plane-wave DFT calculation with PBE-GGA was carried out for a geometry-optimized Na4LiNp3Te8 structure.

Lattice parameters (Å, degrees): 8.897 9.031 8.898 119.53 120.00 90.00
Atoms (fractional coordinates):
Te: 0.740 0.727 0.983
Na: 0.500 0.000 0.000
Li: 0.000 0.500 0.000
Na: 0.000 0.000 0.500
Te: 0.243 0.727 0.487
Te: 0.745 0.735 0.490
Np: 0.500 0.500 0.500
Te: 0.260 0.273 0.017
Te: 0.757 0.273 0.017
Na: 0.000 0.000 0.000
Te: 0.243 0.727 0.983
Np: 0.500 0.500 0.000
Te: 0.255 0.265 0.510
Te: 0.757 0.273 0.513
Na: 0.500 0.000 0.500
Np: 0.000 0.500 0.500

Calculated values
Formation energy from raw total energies   -0.8094 eV/atom


# 24
A plane-wave DFT calculation with PBE-GGA was carried out for a geometry-optimized Mo2RuBr structure.

Lattice parameters (Å, degrees): 5.372 5.372 5.372 147.23 130.73 60.44
Atoms (fractional coordinates):
Mo: 0.484 0.484 0.000
Br: 0.250 0.750 0.500
Mo: 0.016 0.016 0.000
Ru: 0.750 0.250 0.500

Calculated values
Excess energy over the best structure of this formula in the dataset   0.3009 eV per atom
Formation energy from raw total energies   0.7113 eV/atom